Record 1
DFT (PBE) results for a relaxed Nb2SI crystal.

The calculation puts the total energy at -6.33 eV per atom. Its energy above the most stable polymorph in this dataset is 0.000 eV/atom. Its energy relative to the elements, uncorrected is 121 meV/atom. As for the space group: I-42d, No. 122.

Cell lengths 4.8121, 4.8121, 8.6522 Å; angles 73.85, 73.85, 90.00 degrees
Last column: nearest neighbours and their distance in Å.
Fractional coordinates of all 8 atoms:
I (0.0000, 0.0000, 0.0000)  4 Nb 2.81
I (0.7500, 0.2500, 0.5000)  4 Nb 2.81
Nb (0.5452, 0.1250, 0.2500)  2 S 2.46
Nb (0.2048, 0.6250, 0.2500)  2 S 2.46
Nb (0.3750, 0.4548, 0.7500)  2 S 2.46
Nb (0.8750, 0.7952, 0.7500)  2 S 2.46
S (0.5000, 0.5000, 0.0000)  4 Nb 2.46
S (0.2500, 0.7500, 0.5000)  4 Nb 2.46

***

Record 2
DFT (PBE) results for a relaxed NbS3I crystal.

The calculation puts the total energy at -3.53 eV per atom. Its energy above the most stable polymorph in this dataset is 1.362 eV/atom. Its energy relative to the elements, uncorrected is 1273 meV/atom. As for the space group: Pm-3m, No. 221.

Cell lengths 5.0208, 5.0208, 5.0208 Å; angles 90.00, 90.00, 90.00 degrees
Last column: nearest neighbours and their distance in Å.
Fractional coordinates of all 5 atoms:
I (0.0000, 0.0000, 0.0000)  6 S 2.51
Nb (0.5000, 0.5000, 0.5000)  12 S 3.55
S (0.0000, 0.5000, 0.0000)  2 I 2.51
S (0.0000, 0.0000, 0.5000)  2 I 2.51
S (0.5000, 0.0000, 0.0000)  2 I 2.51

***

Record 3
DFT (PBE) results for a relaxed NbS3I crystal.

The calculation puts the total energy at -4.83 eV per atom. Its energy above the most stable polymorph in this dataset is 0.055 eV/atom. Its energy relative to the elements, uncorrected is -34 meV/atom. As for the space group: I-4m2, No. 119.

Cell lengths 5.2263, 5.2263, 9.4907 Å; angles 105.98, 105.98, 90.00 degrees
Last column: nearest neighbours and their distance in Å.
Fractional coordinates of all 10 atoms:
Nb (0.0000, 0.0000, 0.0000)  4 S 2.56
Nb (0.2500, 0.7500, 0.5000)  8 S 2.58-2.65
S (0.1902, 0.8854, 0.7707)  1 S 2.04
S (0.1146, 0.4195, 0.2293)  1 S 2.04
S (0.1146, 0.8098, 0.2293)  1 S 2.04
S (0.5805, 0.8854, 0.7707)  1 S 2.04
S (0.2766, 0.2766, 0.5531)  2 Nb 2.65
S (0.7234, 0.7234, 0.4469)  2 Nb 2.65
I (0.5704, 0.0704, 0.1409)  2 Nb 2.89, 4 S 3.16
I (0.9296, 0.4296, 0.8591)  2 Nb 2.89, 4 S 3.16

***

Record 4
DFT (PBE) results for a relaxed Nb3SI crystal.

The calculation puts the total energy at -6.76 eV per atom. Its energy above the most stable polymorph in this dataset is 0.000 eV/atom. Its energy relative to the elements, uncorrected is 420 meV/atom. As for the space group: Pm-3m, No. 221.

Cell lengths 4.6922, 4.6922, 4.6922 Å; angles 90.00, 90.00, 90.00 degrees
Last column: nearest neighbours and their distance in Å.
Fractional coordinates of all 5 atoms:
I (0.5000, 0.5000, 0.5000)  12 Nb 3.32
Nb (0.0000, 0.5000, 0.0000)  2 S 2.35
Nb (0.0000, 0.0000, 0.5000)  2 S 2.35
Nb (0.5000, 0.0000, 0.0000)  2 S 2.35
S (0.0000, 0.0000, 0.0000)  6 Nb 2.35

***

Record 5
DFT (PBE) results for a relaxed Nb6SI9 crystal.

The calculation puts the total energy at -5.47 eV per atom. Its energy relative to the elements, uncorrected is -564 meV/atom. As for the space group: P-1, No. 2.

Cell lengths 10.7198, 11.2169, 12.2840 Å; angles 107.48, 105.27, 113.20 degrees
Last column: nearest neighbours and their distance in Å.
Fractional coordinates of all 32 atoms:
I (0.3119, 0.9455, 0.5751)  3 Nb 2.88-2.90
I (0.5730, 0.3594, 0.2132)  3 Nb 2.85-2.93
I (0.1085, 0.3221, 0.4683)  3 Nb 2.85-2.93
I (0.1860, 0.3201, 0.0515)  3 Nb 2.85-2.93
I (0.8140, 0.6799, 0.9485)  3 Nb 2.85-2.93
I (0.2393, 0.9596, 0.8982)  2 Nb 2.90
I (0.8915, 0.6779, 0.5317)  3 Nb 2.85-2.93
I (0.5333, 0.3499, 0.5759)  2 Nb 2.89
I (0.9831, 0.5882, 0.2276)  2 Nb 2.98
I (0.7607, 0.0404, 0.1018)  2 Nb 2.90
I (0.3793, 0.7454, 0.1165)  3 Nb 2.87-2.90
I (0.6881, 0.0545, 0.4249)  3 Nb 2.88-2.90
I (0.0169, 0.4118, 0.7724)  2 Nb 2.98
I (0.8672, 0.0015, 0.7331)  3 Nb 2.85-2.94
I (0.4667, 0.6501, 0.4241)  2 Nb 2.89
I (0.1328, 0.9985, 0.2669)  3 Nb 2.85-2.94
I (0.4270, 0.6406, 0.7868)  3 Nb 2.85-2.93
I (0.6207, 0.2546, 0.8835)  3 Nb 2.87-2.90
Nb (0.6133, 0.7356, 0.0447)  1 S 2.42
Nb (0.1049, 0.9828, 0.6735)  1 S 2.42
Nb (0.9888, 0.1468, 0.5911)  1 S 2.60, 4 Nb 2.82-2.87, 1 I 2.88
Nb (0.7676, 0.8476, 0.4667)  1 S 2.42
Nb (0.0112, 0.8532, 0.4089)  1 S 2.60, 4 Nb 2.82-2.87, 1 I 2.88
Nb (0.4855, 0.5656, 0.1849)  1 S 2.42
Nb (0.3247, 0.4825, 0.9270)  1 S 2.59, 4 Nb 2.82-2.87, 1 I 2.87
Nb (0.8951, 0.0172, 0.3265)  1 S 2.42
Nb (0.2324, 0.1524, 0.5333)  1 S 2.42
Nb (0.3867, 0.2644, 0.9553)  1 S 2.42
Nb (0.6753, 0.5175, 0.0730)  1 S 2.59, 4 Nb 2.82-2.87, 1 I 2.87
Nb (0.5145, 0.4344, 0.8151)  1 S 2.42
S (0.2612, 0.2423, 0.7491)  6 Nb 2.42-2.60
S (0.7388, 0.7577, 0.2509)  6 Nb 2.42-2.60

***

Record 6
DFT (PBE) results for a relaxed NbS2I crystal.

The calculation puts the total energy at -5.64 eV per atom. Its energy above the most stable polymorph in this dataset is 0.000 eV/atom. Its energy relative to the elements, uncorrected is -671 meV/atom. As for the space group: Cm, No. 8.

Cell lengths 3.3866, 3.3866, 11.4794 Å; angles 90.06, 90.06, 60.02 degrees
Last column: nearest neighbours and their distance in Å.
Fractional coordinates of all 4 atoms:
Nb (0.1986, 0.1986, 0.3235)  6 S 2.49
S (0.5316, 0.5316, 0.1887)  3 Nb 2.49
S (0.8655, 0.8656, 0.4581)  3 Nb 2.49
I (0.5326, 0.5326, 0.8016)  6 I 3.39

***

Number 1: total magnetic moment 0.000 μB per atom. Number 2: total magnetic moment 0.537 μB per atom. Number 3: total magnetic moment 0.000 μB per atom. Number 4: total magnetic moment 0.000 μB per atom. Number 5: total magnetic moment 0.000 μB per atom. Number 6: total magnetic moment 0.000 μB per atom.